[1]
! PmNd2HoTl2 | the Alexandria database | GGA-PBE | optimized geometry; values from VASP
! raw total energy = -4.204 eV/atom
! energy of formation from the pure elements = -1.62 eV/f.u.
! D(E_F) = 1.1032 states/eV per atom
! spin magnetization = 0.00 μB/atom
! SG = Pmc2_1, No. 26
&SYSTEM
  ibrav = 0, nat = 12, ntyp = 4
/
ATOMIC_SPECIES
Pm 145.00 Pm.upf
Nd 144.24 Nd.upf
Ho 164.93 Ho.upf
Tl 204.38 Tl.upf
CELL_PARAMETERS angstrom
5.199 0.000 0.000
0.000 10.232 0.000
0.000 0.000 6.943
ATOMIC_POSITIONS crystal
Pm 0.000 0.044 0.000
Pm 0.000 0.956 0.500
Nd 0.000 0.316 0.370
Nd 0.000 0.684 0.870
Nd 0.500 0.454 0.096
Nd 0.500 0.546 0.596
Ho 0.500 0.187 0.718
Ho 0.500 0.813 0.218
Tl 0.000 0.357 0.837
Tl 0.000 0.643 0.337
Tl 0.500 0.127 0.261
Tl 0.500 0.873 0.761

***

[2]
! Y2WAu | the Alexandria database | GGA-PBE | optimized geometry; values from VASP
! raw total energy = -7.238 eV/atom
! energy of formation from the pure elements = 0.21 eV/f.u.
! D(E_F) = 1.2175 states/eV per atom
! energy above the most stable polymorph in this dataset = 0.089 eV/atom
! spin magnetization = 0.00 μB/atom
! SG = P4/mmm, No. 123
&SYSTEM
  ibrav = 0, nat = 4, ntyp = 3
/
ATOMIC_SPECIES
Y 88.91 Y.upf
W 183.84 W.upf
Au 196.97 Au.upf
CELL_PARAMETERS angstrom
5.250 0.000 0.000
0.000 5.250 0.000
0.000 0.000 3.274
ATOMIC_POSITIONS crystal
Y 0.000 0.500 0.000
Y 0.500 0.000 0.000
W 0.000 0.000 0.500
Au 0.500 0.500 0.500

***

[3]
! Pm2Dy4Th | the Alexandria database | GGA-PBE | optimized geometry; values from VASP
! raw total energy = -4.971 eV/atom
! energy of formation from the pure elements = 0.53 eV/f.u.
! D(E_F) = 1.3424 states/eV per atom
! energy above the most stable polymorph in this dataset = 0.049 eV/atom
! spin magnetization = 0.00 μB/atom
! SG = R-3m, No. 166
&SYSTEM
  ibrav = 0, nat = 7, ntyp = 3
/
ATOMIC_SPECIES
Pm 145.00 Pm.upf
Dy 162.50 Dy.upf
Th 232.04 Th.upf
CELL_PARAMETERS angstrom
1.781 1.028 21.002
-1.781 1.028 21.002
0.000 -2.056 21.002
ATOMIC_POSITIONS crystal
Pm 0.235 0.235 0.235
Pm 0.765 0.765 0.765
Dy 0.144 0.144 0.144
Dy 0.289 0.289 0.289
Dy 0.711 0.711 0.711
Dy 0.856 0.856 0.856
Th 0.000 0.000 0.000

***

[4]
! SrLiHo | the Alexandria database | GGA-PBE | optimized geometry; values from VASP
! raw total energy = -2.530 eV/atom
! energy of formation from the pure elements = 0.58 eV/f.u.
! D(E_F) = 1.4922 states/eV per atom
! energy above the most stable polymorph in this dataset = 0.105 eV/atom
! spin magnetization = 0.01 μB/atom
! SG = I4mm, No. 107
&SYSTEM
  ibrav = 0, nat = 3, ntyp = 3
/
ATOMIC_SPECIES
Sr 87.62 Sr.upf
Li 6.94 Li.upf
Ho 164.93 Ho.upf
CELL_PARAMETERS angstrom
-1.917 1.917 6.893
1.917 -1.917 6.893
1.917 1.917 -6.893
ATOMIC_POSITIONS crystal
Sr 0.000 0.000 0.000
Li 0.665 0.665 0.000
Ho 0.294 0.294 0.000

***

[5]
! BaCa2H | the Alexandria database | GGA-PBE | optimized geometry; values from VASP
! raw total energy = -2.324 eV/atom
! D(E_F) = 0.5814 states/eV per atom
! energy above the most stable polymorph in this dataset = 0.189 eV/atom
! spin magnetization = 0.00 μB/atom
! SG = R-3m, No. 166
&SYSTEM
  ibrav = 0, nat = 4, ntyp = 3
/
ATOMIC_SPECIES
Ba 137.33 Ba.upf
Ca 40.08 Ca.upf
H 1.01 H.upf
CELL_PARAMETERS angstrom
1.904 1.099 10.371
-1.904 1.099 10.371
0.000 -2.198 10.371
ATOMIC_POSITIONS crystal
Ba 0.000 0.000 0.000
Ca 0.120 0.120 0.120
Ca 0.880 0.880 0.880
H 0.500 0.500 0.500

***

[6]
! MgAl4Co5 | the Alexandria database | GGA-PBE | optimized geometry; values from VASP
! raw total energy = -5.673 eV/atom
! energy of formation from the pure elements = -4.64 eV/f.u.
! D(E_F) = 0.2468 states/eV per atom
! spin magnetization = 0.00 μB/atom
! SG = P4/mmm, No. 123
&SYSTEM
  ibrav = 0, nat = 10, ntyp = 3
/
ATOMIC_SPECIES
Mg 24.30 Mg.upf
Al 26.98 Al.upf
Co 58.93 Co.upf
CELL_PARAMETERS angstrom
2.874 0.000 0.000
0.000 2.874 0.000
0.000 0.000 14.539
ATOMIC_POSITIONS crystal
Mg 0.000 0.000 0.000
Al 0.000 0.000 0.204
Al 0.000 0.000 0.402
Al 0.000 0.000 0.598
Al 0.000 0.000 0.796
Co 0.500 0.500 0.114
Co 0.500 0.500 0.306
Co 0.500 0.500 0.500
Co 0.500 0.500 0.694
Co 0.500 0.500 0.886

***

[7]
! SnSb2HI | the Alexandria database | GGA-PBE | optimized geometry; values from VASP
! raw total energy = -2.466 eV/atom
! D(E_F) = 0.7794 states/eV per atom
! energy above the most stable polymorph in this dataset = 0.592 eV/atom
! spin magnetization = 0.56 μB/atom
! SG = P4/mmm, No. 123
&SYSTEM
  ibrav = 0, nat = 5, ntyp = 4
/
ATOMIC_SPECIES
Sn 118.71 Sn.upf
Sb 121.76 Sb.upf
H 1.01 H.upf
I 126.90 I.upf
CELL_PARAMETERS angstrom
5.810 0.000 0.000
0.000 5.810 0.000
0.000 0.000 6.251
ATOMIC_POSITIONS crystal
Sn 0.000 0.000 0.000
Sb 0.000 0.500 0.000
Sb 0.500 0.000 0.000
H 0.500 0.500 0.500
I 0.000 0.000 0.500

***

[8]
! NaZrTcI2 | the Alexandria database | GGA-PBE | optimized geometry; values from VASP
! raw total energy = -3.231 eV/atom
! E_form (uncorrected) = 1.435 eV/atom
! D(E_F) = 1.5491 states/eV per atom
! spin magnetization = 0.78 μB/atom
! SG = P4/mmm, No. 123
&SYSTEM
  ibrav = 0, nat = 5, ntyp = 4
/
ATOMIC_SPECIES
Na 22.99 Na.upf
Zr 91.22 Zr.upf
Tc 98.00 Tc.upf
I 126.90 I.upf
CELL_PARAMETERS angstrom
5.396 0.000 0.000
0.000 5.396 0.000
0.000 0.000 5.912
ATOMIC_POSITIONS crystal
Na 0.000 0.000 0.000
Zr 0.000 0.000 0.500
Tc 0.500 0.500 0.500
I 0.000 0.500 0.000
I 0.500 0.000 0.000

***

[9]
! CaNpCuO5 | the Alexandria database | GGA-PBE | optimized geometry; values from VASP
! raw total energy = -7.794 eV/atom
! E_form (uncorrected) = -2.315 eV/atom
! D(E_F) = 0.3684 states/eV per atom
! spin magnetization = 0.00 μB/atom
! SG = C2/c, No. 15
&SYSTEM
  ibrav = 0, nat = 16, ntyp = 4
/
ATOMIC_SPECIES
Ca 40.08 Ca.upf
Np 237.00 Np.upf
Cu 63.55 Cu.upf
O 16.00 O.upf
CELL_PARAMETERS angstrom
3.633 -4.561 0.000
3.633 4.561 0.000
-3.333 0.000 7.099
ATOMIC_POSITIONS crystal
Ca 0.073 0.927 0.750
Ca 0.927 0.073 0.250
Np 0.000 0.500 0.000
Np 0.500 0.000 0.500
Cu 0.467 0.533 0.750
Cu 0.533 0.467 0.250
O 0.179 0.821 0.250
O 0.203 0.270 0.075
O 0.228 0.643 0.888
O 0.270 0.203 0.575
O 0.357 0.772 0.612
O 0.643 0.228 0.388
O 0.730 0.797 0.425
O 0.772 0.357 0.112
O 0.797 0.730 0.925
O 0.821 0.179 0.750

***

[10]
! Sr2UHgTe5 | the Alexandria database | GGA-PBE | optimized geometry; values from VASP
! raw total energy = -4.388 eV/atom
! E_form (uncorrected) = -0.981 eV/atom
! D(E_F) = 0.4659 states/eV per atom
! spin magnetization = 0.22 μB/atom
! SG = Cmc2_1, No. 36
&SYSTEM
  ibrav = 0, nat = 18, ntyp = 4
/
ATOMIC_SPECIES
Sr 87.62 Sr.upf
U 238.03 U.upf
Hg 200.59 Hg.upf
Te 127.60 Te.upf
CELL_PARAMETERS angstrom
2.254 -9.854 0.000
2.254 9.854 0.000
0.000 0.000 14.003
ATOMIC_POSITIONS crystal
Sr 0.113 0.887 0.500
Sr 0.125 0.875 0.134
Sr 0.875 0.125 0.634
Sr 0.887 0.113 0.000
U 0.205 0.795 0.832
U 0.795 0.205 0.332
Hg 0.447 0.553 0.261
Hg 0.553 0.447 0.761
Te 0.053 0.947 0.884
Te 0.290 0.710 0.481
Te 0.302 0.698 0.179
Te 0.359 0.641 0.821
Te 0.497 0.503 0.581
Te 0.503 0.497 0.081
Te 0.641 0.359 0.321
Te 0.698 0.302 0.679
Te 0.710 0.290 0.981
Te 0.947 0.053 0.384

***

[11]
! Sr3Li5Zn2 | the Alexandria database | GGA-PBE | optimized geometry; values from VASP
! raw total energy = -1.791 eV/atom
! energy of formation from the pure elements = -0.74 eV/f.u.
! D(E_F) = 0.6821 states/eV per atom
! spin magnetization = 0.00 μB/atom
! SG = P4/mbm, No. 127
&SYSTEM
  ibrav = 0, nat = 20, ntyp = 3
/
ATOMIC_SPECIES
Sr 87.62 Sr.upf
Li 6.94 Li.upf
Zn 65.41 Zn.upf
CELL_PARAMETERS angstrom
11.208 0.000 0.000
0.000 11.208 0.000
0.000 0.000 4.471
ATOMIC_POSITIONS crystal
Sr 0.000 0.000 0.000
Sr 0.177 0.323 0.000
Sr 0.323 0.823 0.000
Sr 0.500 0.500 0.000
Sr 0.677 0.177 0.000
Sr 0.823 0.677 0.000
Li 0.000 0.500 0.500
Li 0.071 0.758 0.500
Li 0.242 0.071 0.500
Li 0.258 0.571 0.500
Li 0.429 0.258 0.500
Li 0.500 0.000 0.500
Li 0.571 0.742 0.500
Li 0.742 0.429 0.500
Li 0.758 0.929 0.500
Li 0.929 0.242 0.500
Zn 0.112 0.612 0.000
Zn 0.388 0.112 0.000
Zn 0.612 0.888 0.000
Zn 0.888 0.388 0.000

***

[12]
! KMgAl2W | the Alexandria database | GGA-PBE | optimized geometry; values from VASP
! raw total energy = -2.857 eV/atom
! energy of formation from the pure elements = 8.84 eV/f.u.
! D(E_F) = 0.5312 states/eV per atom
! spin magnetization = 0.71 μB/atom
! SG = P4/mmm, No. 123
&SYSTEM
  ibrav = 0, nat = 5, ntyp = 4
/
ATOMIC_SPECIES
K 39.10 K.upf
Mg 24.30 Mg.upf
Al 26.98 Al.upf
W 183.84 W.upf
CELL_PARAMETERS angstrom
5.086 0.000 0.000
0.000 5.086 0.000
0.000 0.000 5.321
ATOMIC_POSITIONS crystal
K 0.000 0.000 0.000
Mg 0.000 0.000 0.500
Al 0.000 0.500 0.500
Al 0.500 0.000 0.500
W 0.500 0.500 0.000

***

Copy entry 12 word for word.
! KMgAl2W | the Alexandria database | GGA-PBE | optimized geometry; values from VASP
! raw total energy = -2.857 eV/atom
! energy of formation from the pure elements = 8.84 eV/f.u.
! D(E_F) = 0.5312 states/eV per atom
! spin magnetization = 0.71 μB/atom
! SG = P4/mmm, No. 123
&SYSTEM
  ibrav = 0, nat = 5, ntyp = 4
/
ATOMIC_SPECIES
K 39.10 K.upf
Mg 24.30 Mg.upf
Al 26.98 Al.upf
W 183.84 W.upf
CELL_PARAMETERS angstrom
5.086 0.000 0.000
0.000 5.086 0.000
0.000 0.000 5.321
ATOMIC_POSITIONS crystal
K 0.000 0.000 0.000
Mg 0.000 0.000 0.500
Al 0.000 0.500 0.500
Al 0.500 0.000 0.500
W 0.500 0.500 0.000

***

Number 12 is which compound?
KMgAl2W